RbBi2Sb2 | GGA-PBE | relaxed

a b c (Å): 5.5141 5.5141 20.9333
angles (deg): 90.00 90.00 120.00
Closest atoms and distances in Å follow each position.
Space group R-3m (No. 166, hexagonal axes)
One atom of each set of equivalent atoms:
Rb 0.0000 0.0000 0.0000 x3  6 Sb 3.80, 6 Bi 4.18
Bi 0.0000 0.0000 0.2039 x6  3 Sb 3.25, 3 Bi 3.54
Sb 0.0000 0.0000 0.4327 x6  1 Sb 2.82

Its volume is 551.2 Å³/cell. The density is 6.75 g/cm³. For the total DFT energy (no corrections), the calculation gives -3.468 eV per atom. Its uncorrected formation energy is -73 meV/atom.